Density functional theory data (PBE) for a relaxed structure of MgH3N.

- Relative energy among the computed polymorphs: 0.501 eV per atom
- Calculated volume: 54.8 Å³/cell
- Spin magnetization: 2.01 μB/f.u.
- Raw total energy: -2.545 eV per atom

The structure in POSCAR format:
```
MgH3N
1.0
-1.8343 -2.8049 1.7880
2.7583 -2.4239 -0.9726
1.8591 0.8287 3.2072
H Mg N
3 1 1
direct
0.0000 0.5000 0.0000 H
0.0000 0.0000 0.5000 H
0.5000 0.0000 0.0000 H
0.0000 0.0000 0.0000 Mg
0.5000 0.5000 0.5000 N
```